Crystalline Cs2PrP2Se7 at its relaxed geometry, computed with PBE.

Lattice parameters (Å, degrees): 10.388 7.393 22.097 90.00 110.36 90.00
Atoms (fractional coordinates):
P: 0.052 0.980 0.166
P: 0.948 0.480 0.334
P: 0.948 0.020 0.834
P: 0.478 0.001 0.547
P: 0.522 0.999 0.453
P: 0.478 0.499 0.047
P: 0.052 0.520 0.666
P: 0.522 0.501 0.953
Se: 0.002 0.270 0.606
Se: 0.969 0.251 0.901
Se: 0.746 0.992 0.485
Se: 0.917 0.591 0.723
Se: 0.083 0.409 0.277
Se: 0.411 0.738 0.899
Se: 0.998 0.770 0.894
Se: 0.265 0.998 0.238
Se: 0.578 0.754 0.600
Se: 0.746 0.508 0.985
Se: 0.578 0.746 0.100
Se: 0.589 0.238 0.601
Se: 0.998 0.730 0.394
Se: 0.735 0.498 0.262
Se: 0.083 0.091 0.777
Se: 0.031 0.749 0.099
Se: 0.031 0.751 0.599
Se: 0.422 0.254 0.900
Se: 0.411 0.762 0.399
Se: 0.002 0.230 0.106
Se: 0.422 0.246 0.400
Se: 0.254 0.492 0.015
Se: 0.917 0.909 0.223
Se: 0.265 0.502 0.738
Se: 0.589 0.262 0.101
Se: 0.254 0.008 0.515
Se: 0.969 0.249 0.401
Se: 0.735 0.002 0.762
Pr: 0.158 0.022 0.350
Pr: 0.842 0.978 0.650
Pr: 0.842 0.522 0.150
Pr: 0.158 0.478 0.850
Cs: 0.336 0.494 0.197
Cs: 0.336 0.006 0.697
Cs: 0.264 0.501 0.521
Cs: 0.736 0.001 0.979
Cs: 0.264 0.999 0.021
Cs: 0.664 0.994 0.303
Cs: 0.664 0.506 0.803
Cs: 0.736 0.499 0.479

Computed properties:
**Space-group type**: P2_1/c, No. 14

---

Crystalline CsThSb at its relaxed geometry, computed with PBE.

Lattice parameters (Å, degrees): 5.448 5.448 5.448 60.00 60.00 60.00
Last column: magnetic moment on the atom in μB.
Atoms (fractional coordinates):
Sb: 0.750 0.750 0.750  -0.03
Th: 0.250 0.250 0.250  0.82
Cs: 0.000 0.000 0.000  0.08

Computed properties:
**Space-group type**: F-43m, No. 216

---

Crystalline PrDyTl2Zn2 at its relaxed geometry, computed with PBE.

Lattice parameters (Å, degrees): 4.743 4.743 7.518 90.00 90.00 120.00
Atoms (fractional coordinates):
Tl: 0.667 0.333 0.133
Tl: 0.333 0.667 0.618
Zn: 0.667 0.333 0.539
Zn: 0.333 0.667 0.052
Pr: 0.000 0.000 0.847
Dy: 0.000 0.000 0.347

Computed properties:
**Space-group type**: P3m1, No. 156

---

Number 1: calculated total energy -210.360 eV for the cell shown. Number 2: calculated total energy -9.287 eV for the cell shown. Number 3: calculated total energy -18.785 eV for the cell shown.